DFT (PBE) results for a relaxed AcBeGePd6 crystal.

Output
* ΔE_f: -0.37 eV per atom
* uncorrected energy: -5.215 eV per atom

Cell: 7.385 8.373 11.282 Å, 90.00 90.00 90.00°
Space group Imma (No. 74)
Asymmetric unit:
Ac 0.000 0.250 0.171 [4 per cell]
Be 0.000 0.000 0.500 [4 per cell]
Ge 0.250 0.250 0.750 [4 per cell]
Pd 0.000 0.250 0.437 [4 per cell]
Pd 0.000 0.250 0.893 [4 per cell]
Pd 0.229 0.015 0.623 [16 per cell]